The following is a DFT calculation (GGA-PBE) of a relaxed structure of Li12Hg3Rh.

Cell lengths 4.029, 4.029, 16.350 Å; angles 90.00, 90.00, 90.00 degrees
Element x y z (fractional)
1 Li 0.000 0.000 0.000
2 Li 0.000 0.000 0.237
3 Li 0.000 0.000 0.500
4 Li 0.000 0.000 0.763
5 Li 0.000 0.500 0.107
6 Li 0.000 0.500 0.367
7 Li 0.000 0.500 0.633
8 Li 0.000 0.500 0.893
9 Li 0.500 0.000 0.107
10 Li 0.500 0.000 0.367
11 Li 0.500 0.000 0.633
12 Li 0.500 0.000 0.893
13 Hg 0.500 0.500 0.236
14 Hg 0.500 0.500 0.500
15 Hg 0.500 0.500 0.764
16 Rh 0.500 0.500 0.000


The following is a DFT calculation (GGA-PBE) of a relaxed structure of TiPd2Br.

Cell lengths 6.183, 6.183, 6.183 Å; angles 115.08, 115.08, 98.76 degrees
Element x y z (fractional)
1 Ti 0.000 0.000 0.000
2 Ti 0.750 0.250 0.500
3 Pd 0.099 0.625 0.974
4 Pd 0.375 0.349 0.474
5 Pd 0.651 0.125 0.026
6 Pd 0.875 0.901 0.526
7 Br 0.250 0.750 0.500
8 Br 0.500 0.500 0.000

Results
As for the energy relative to the elements, uncorrected: 4.1 kcal/mol of atoms.


The following is a DFT calculation (GGA-PBE) of a relaxed structure of Tb4CdHg5.

Cell lengths 3.729, 3.729, 18.254 Å; angles 90.00, 90.00, 90.00 degrees
Element x y z (fractional)
1 Tb 0.000 0.000 0.103
2 Tb 0.000 0.000 0.308
3 Tb 0.000 0.000 0.692
4 Tb 0.000 0.000 0.897
5 Cd 0.000 0.000 0.500
6 Hg 0.500 0.500 0.000
7 Hg 0.500 0.500 0.203
8 Hg 0.500 0.500 0.405
9 Hg 0.500 0.500 0.595
10 Hg 0.500 0.500 0.797


Number 1: magnetization 0.00 μB per cell, electronic total energy -2.159 eV per atom. Number 2: magnetization 0.00 μB per cell, electronic total energy -4.808 eV per atom. Number 3: magnetization 0.22 μB per cell, electronic total energy -2.499 eV per atom.